First-principles (GGA-PBE) data for an optimized crystal structure of ReMo2PtW, as listed in Alexandria via LeMat-Bulk.

Values from the calculation:
Energy of formation from the pure elements ... 9.7 eV/f.u.
Total energy ... -8.676 eV per atom
DOS at the Fermi energy ... 1.1784 states/eV per atom

Cell lengths 4.6806, 4.6969, 4.6806 Å; angles 90.00, 90.00, 90.00 degrees
Closest atoms and distances in Å follow each position.
Fractional positions:
Re 0.0000 0.5000 0.0000  2 W 2.35
Pt 0.5000 0.5000 0.5000  4 Re 3.31, 8 Mo 3.32
Mo 0.5000 0.0000 0.0000  2 W 2.34
W 0.0000 0.0000 0.0000  4 Mo 2.34, 2 Re 2.35
Mo 0.0000 0.0000 0.5000  2 W 2.34